Entry 1:
{
  "formula": "LiSbPt6",
  "functional": "PBE",
  "state": "relaxed",
  "space_group": "P4/mmm",
  "vol_a3_per_atom": 15.78,
  "magnetic_moment_mub_per_atom": 0.0000,
  "e_form_raw_ev_per_atom": -0.343,
  "lattice": [[4.0131, 0.0000, 0.0000], [0.0000, 5.6088, -0.0350], [0.0000, 0.0363, 5.6088]],
  "species": ["Li", "Pt", "Pt", "Pt", "Pt", "Pt", "Sb", "Pt"],
  "fractional_positions": [[0.5000, 0.0000, 0.0000], [0.5000, 0.5000, 0.0000], [0.0000, 0.2436, 0.7564], [0.0000, 0.2434, 0.2434], [0.0000, 0.7564, 0.2436], [0.0000, 0.7566, 0.7566], [0.5000, 0.5000, 0.5000], [0.5000, 0.0000, 0.5000]]
}



Entry 2:
{
  "formula": "ZrScHg",
  "functional": "PBE",
  "state": "relaxed",
  "space_group": "C2",
  "vol_a3_per_atom": 22.20,
  "magnetic_moment_mub_per_atom": 0.0002,
  "formation_enthalpy_0k_mev_per_atom": -156.4,
  "relative_energy_ev_per_atom": 0.098,
  "lattice": [[-2.6210, -2.7251, -4.9280], [-1.9804, -4.1200, 3.3315], [-4.0966, 6.3242, 5.3857]],
  "species": ["Sc", "Sc", "Sc", "Zr", "Sc", "Hg", "Zr", "Hg", "Hg", "Zr", "Zr", "Hg"],
  "fractional_positions": [[0.5217, 0.6159, 0.3362], [0.5217, 0.1159, 0.8362], [0.4783, 0.6159, 0.6638], [0.9875, 0.3720, 0.6706], [0.4783, 0.1159, 0.1638], [0.5000, 0.0902, 0.5000], [0.0125, 0.8720, 0.8294], [0.5000, 0.5902, 0.0000], [0.0000, 0.4026, 0.0000], [0.0125, 0.3720, 0.3294], [0.9875, 0.8720, 0.1706], [0.0000, 0.9026, 0.5000]]
}



no.,DOS(E_F) (states/eV/cell)
1,5.64
2,16.67